# RbNpHg2Br8, optimized geometry, DFT PBE
# * uncorrected formation energy: -0.945 eV per atom
data_RbNpHg2Br8
_chemical_formula_sum 'Rb1 Np1 Hg2 Br8'
_cell_length_a 7.065
_cell_length_b 7.942
_cell_length_c 9.969
_cell_angle_alpha 112.09
_cell_angle_beta 92.72
_cell_angle_gamma 95.92
_space_group_name_H-M_alt 'P -1'
_space_group_IT_number 2
_space_group_name_Hall '-P 1'
loop_
_atom_site_label
_atom_site_type_symbol
_atom_site_fract_x
_atom_site_fract_y
_atom_site_fract_z
Rb1 Rb 0.000 0.000 0.000
Np1 Np 0.000 0.000 0.500
Hg1 Hg 0.445 0.267 0.800
Br1 Br 0.168 0.794 0.239
Br2 Br 0.230 0.871 0.673
Br3 Br 0.310 0.304 0.565
Br4 Br 0.429 0.295 0.064

=====

# RbCaSn2Au, optimized geometry, DFT PBE
# * DFT formation energy: 0.657 eV/atom
data_RbCaSn2Au
_chemical_formula_sum 'Rb1 Ca1 Sn2 Au1'
_cell_length_a 5.840
_cell_length_b 5.840
_cell_length_c 6.597
_cell_angle_alpha 90.00
_cell_angle_beta 90.00
_cell_angle_gamma 90.00
_space_group_name_H-M_alt 'P 4/m m m'
_space_group_IT_number 123
_space_group_name_Hall '-P 4 2'
loop_
_atom_site_label
_atom_site_type_symbol
_atom_site_fract_x
_atom_site_fract_y
_atom_site_fract_z
Rb1 Rb 0.000 0.000 0.000
Ca1 Ca 0.000 0.000 0.500
Sn1 Sn 0.000 0.500 0.500
Au1 Au 0.500 0.500 0.000

=====

# AcLa2Tl2In2, optimized geometry, DFT PBE
# * DFT formation energy: -0.247 eV/atom
data_AcLa2Tl2In2
_chemical_formula_sum 'Ac3 La6 Tl6 In6'
_cell_length_a 5.1268
_cell_length_b 5.1268
_cell_length_c 29.7076
_cell_angle_alpha 90.00
_cell_angle_beta 90.00
_cell_angle_gamma 120.00
_space_group_name_H-M_alt 'R -3 m'
_space_group_IT_number 166
_space_group_name_Hall '-R 3 2"'
loop_
_atom_site_label
_atom_site_type_symbol
_atom_site_fract_x
_atom_site_fract_y
_atom_site_fract_z
Ac1 Ac 0.0000 0.0000 0.0000
La1 La 0.0000 0.0000 0.1340
Tl1 Tl 0.0000 0.0000 0.4226
In1 In 0.0000 0.0000 0.2685

=====

In order of appearance, theoretical density = 4.41 4.13 8.42 g/cm³.